This record from Alexandria describes crystalline KSbRuI2 at its relaxed geometry. The functional is PBE.

Cell lengths 6.3795, 6.3795, 6.4076 Å; angles 90.00, 90.00, 90.00 degrees
Space group P4/mmm (No. 123)
Inequivalent atoms, fractional coordinates:
K (0.0000, 0.0000, 0.0000) [1 per cell]
Sb (0.0000, 0.0000, 0.5000) [1 per cell]
Ru (0.5000, 0.5000, 0.5000) [1 per cell]
I (0.0000, 0.5000, 0.0000) [2 per cell]

Values from the calculation:
- total magnetic moment (μB per cell) = 5.90
- uncorrected energy (eV per atom) = -2.247
- uncorrected formation energy (eV/f.u.) = 6.36